The following is a PBE calculation of crystalline Co2IrPb at its relaxed geometry, from Alexandria.

Cell lengths 6.4980, 4.4950, 2.9890 Å; angles 90.04, 62.56, 124.72 degrees
Last column: nearest neighbours and their distance in Å.
Fractional positions:
1 Ir 0.0000 0.5000 0.5000  8 Co 2.70, 2 Pb 2.88, 2 Ir 2.99
2 Co 0.0000 0.0000 0.0000  4 Pb 2.70, 4 Ir 2.70, 4 Co 2.88-2.99
3 Co 0.5000 0.0000 0.5000  4 Ir 2.70, 4 Pb 2.70, 4 Co 2.88-2.99
4 Pb 0.5000 0.5000 0.0000  8 Co 2.70, 2 Ir 2.88, 2 Pb 2.99

Calculated volume in Å³/cell: 59.4
Formation energy in kJ/mol of formula units: 191
Electronic total energy in eV per atom: -6.2000

---

The following is a PBE calculation of crystalline Pr3Tm4Ga4 at its relaxed geometry, from Alexandria.

Cell lengths 4.8171, 7.6478, 9.2445 Å; angles 114.43, 105.10, 90.00 degrees
Last column: nearest neighbours and their distance in Å.
Fractional positions:
1 Pr 0.8907 0.8907 0.7815  4 Ga 3.28, 4 Tm 3.42, 1 Pr 3.52
2 Pr 0.1093 0.1093 0.2185  4 Ga 3.28, 4 Tm 3.42, 1 Pr 3.52
3 Pr 0.0000 0.5000 0.0000  6 Ga 3.29-3.44
4 Ga 0.7958 0.2958 0.5915  6 Tm 2.94-2.97, 1 Pr 3.29
5 Ga 0.5000 0.1786 0.0000  1 Ga 2.73, 2 Tm 2.91
6 Ga 0.2042 0.7042 0.4085  6 Tm 2.94-2.97, 1 Pr 3.29
7 Ga 0.5000 0.8214 0.0000  1 Ga 2.73, 2 Tm 2.91
8 Tm 0.3274 0.5387 0.6547  4 Ga 2.91-2.97, 1 Tm 3.23
9 Tm 0.6726 0.8840 0.3453  4 Ga 2.91-2.97, 1 Tm 3.23
10 Tm 0.3274 0.1160 0.6547  4 Ga 2.91-2.97, 1 Tm 3.23
11 Tm 0.6726 0.4613 0.3453  4 Ga 2.91-2.97, 1 Tm 3.23

Calculated volume in Å³/cell: 297.1
Formation energy in kJ/mol of formula units: -421
Electronic total energy in eV per atom: -4.4272

---

The following is a PBE calculation of crystalline LiTa2Br at its relaxed geometry, from Alexandria.

Cell lengths 4.9926, 4.9926, 5.8185 Å; angles 70.63, 70.63, 34.94 degrees
Last column: nearest neighbours and their distance in Å.
Fractional positions:
1 Br 0.4688 0.4688 0.3956  3 Li 2.59-2.69, 4 Ta 2.80-2.85
2 Ta 0.0266 0.0266 0.9653  5 Ta 2.69-3.00, 2 Br 2.80
3 Ta 0.7903 0.7903 0.8123  5 Ta 2.69-3.00, 2 Br 2.85
4 Li 0.2144 0.2144 0.3268  3 Br 2.59-2.69

Distance to the lowest polymorph of the same formula in kcal/mol of atoms: 8.88
Calculated volume in Å³/cell: 77.9
Electronic total energy in eV per atom: -6.3797

---

The following is a PBE calculation of crystalline Zn2TcAu at its relaxed geometry, from Alexandria.

Cell lengths 5.2546, 5.2546, 4.8416 Å; angles 66.36, 66.36, 30.12 degrees
Last column: nearest neighbours and their distance in Å.
Fractional positions:
1 Au 0.5019 0.5019 0.5868  7 Zn 2.70-2.78, 2 Au 2.73, 3 Tc 2.86-2.88
2 Zn 0.9971 0.9971 0.0905  3 Tc 2.72-2.75, 5 Zn 2.73-2.88, 4 Au 2.78
3 Zn 0.7503 0.7503 0.6652  3 Au 2.70-2.78, 5 Zn 2.73-2.88, 4 Tc 2.75-2.81
4 Tc 0.2506 0.2506 0.1575  7 Zn 2.72-2.81, 2 Tc 2.73, 3 Au 2.86-2.88

Distance to the lowest polymorph of the same formula in kcal/mol of atoms: 0.67
Calculated volume in Å³/cell: 61.0
Formation energy in kJ/mol of formula units: 12
Electronic total energy in eV per atom: -4.0171

---

The following is a PBE calculation of crystalline ScSbTe2F at its relaxed geometry, from Alexandria.

Cell lengths 5.3858, 5.3858, 5.5265 Å; angles 90.00, 90.00, 90.00 degrees
Last column: nearest neighbours and their distance in Å.
Fractional positions:
1 F 0.5000 0.5000 0.5000  4 Sb 3.81, 8 Te 3.86
2 Sc 0.0000 0.0000 0.0000  4 Te 2.69, 2 Sb 2.76
3 Te 0.0000 0.5000 0.0000  2 Sc 2.69
4 Te 0.5000 0.0000 0.0000  2 Sc 2.69
5 Sb 0.0000 0.0000 0.5000  2 Sc 2.76

Distance to the lowest polymorph of the same formula in kcal/mol of atoms: 3.44
Calculated volume in Å³/cell: 160.3
Electronic total energy in eV per atom: -3.9813

---

The following is a PBE calculation of crystalline Sm2PdS at its relaxed geometry, from Alexandria.

Cell lengths 3.7126, 3.7126, 9.0496 Å; angles 78.16, 78.16, 60.00 degrees
Last column: nearest neighbours and their distance in Å.
Fractional positions:
1 Sm 0.1011 0.1011 0.6967  1 Pd 2.67, 3 S 2.75
2 Sm 0.8989 0.8989 0.3033  1 Pd 2.67, 3 S 2.75
3 Pd 0.0000 0.0000 0.0000  2 Sm 2.67
4 S 0.5000 0.5000 0.5000  6 Sm 2.75

Distance to the lowest polymorph of the same formula in kcal/mol of atoms: 14.94
Calculated volume in Å³/cell: 104.9
Electronic total energy in eV per atom: -5.4541

---

The following is a PBE calculation of crystalline LaPr3Ga4 at its relaxed geometry, from Alexandria.

Cell lengths 5.2859, 7.4818, 10.5700 Å; angles 90.00, 90.00, 90.00 degrees
Last column: nearest neighbours and their distance in Å.
Fractional positions:
1 Ga 0.5000 0.2469 0.5000  6 Pr 3.22-3.25, 2 La 3.25
2 Ga 0.5000 0.7531 0.0000  6 Pr 3.22-3.25, 2 La 3.25
3 Ga 0.9977 0.7531 0.7500  6 Pr 3.22-3.25, 2 La 3.25
4 Ga 0.0023 0.2469 0.2500  6 Pr 3.22-3.25, 2 La 3.25
5 Ga 0.9977 0.2469 0.7500  6 Pr 3.22-3.25, 2 La 3.25
6 Ga 0.0023 0.7531 0.2500  6 Pr 3.22-3.25, 2 La 3.25
7 Ga 0.5000 0.7531 0.5000  6 Pr 3.22-3.25, 2 La 3.25
8 Ga 0.5000 0.2469 0.0000  6 Pr 3.22-3.25, 2 La 3.25
9 Pr 0.5017 0.0000 0.2500  8 Ga 3.22-3.23
10 Pr 0.0000 0.0000 0.5000  8 Ga 3.22
11 Pr 0.4983 0.0000 0.7500  8 Ga 3.22-3.23
12 Pr 0.5017 0.5000 0.2500  8 Ga 3.25
13 Pr 0.0000 0.0000 0.0000  8 Ga 3.22
14 Pr 0.4983 0.5000 0.7500  8 Ga 3.25
15 La 0.0000 0.5000 0.5000  8 Ga 3.25
16 La 0.0000 0.5000 0.0000  8 Ga 3.25

Distance to the lowest polymorph of the same formula in kcal/mol of atoms: 0.00
Calculated volume in Å³/cell: 418.0
Formation energy in kJ/mol of formula units: -423
Electronic total energy in eV per atom: -4.4699

---

The following is a PBE calculation of crystalline Cu2SiIr at its relaxed geometry, from Alexandria.

Cell lengths 3.5915, 3.5915, 3.9401 Å; angles 90.00, 90.00, 90.00 degrees
Last column: nearest neighbours and their distance in Å.
Fractional positions:
1 Ir 0.5000 0.0000 0.5000  4 Si 2.54, 8 Cu 2.67
2 Cu 0.0000 0.0000 0.0000  4 Cu 2.54, 4 Ir 2.67, 4 Si 2.67
3 Cu 0.5000 0.5000 0.0000  4 Cu 2.54, 4 Ir 2.67, 4 Si 2.67
4 Si 0.0000 0.5000 0.5000  4 Ir 2.54, 8 Cu 2.67

Calculated volume in Å³/cell: 50.8
Electronic total energy in eV per atom: -5.7906

---

The following is a PBE calculation of crystalline Sm4HoPb5 at its relaxed geometry, from Alexandria.

Cell lengths 6.3767, 7.8151, 7.8151 Å; angles 80.42, 65.92, 65.92 degrees
Last column: nearest neighbours and their distance in Å.
Fractional positions:
1 Pb 0.2967 0.8042 0.6036  1 Ho 3.15, 5 Sm 3.19-3.21
2 Pb 0.9003 0.3964 0.8042  1 Ho 3.15, 5 Sm 3.19-3.21
3 Pb 0.5027 0.0000 0.0000  2 Ho 3.19, 4 Sm 3.19
4 Pb 0.7046 0.1958 0.3964  1 Ho 3.15, 5 Sm 3.19-3.21
5 Pb 0.1009 0.6036 0.1958  1 Ho 3.15, 5 Sm 3.19-3.21
6 Sm 0.8015 0.7970 0.6014  6 Pb 3.19-3.21
7 Sm 0.1999 0.2030 0.3986  6 Pb 3.19-3.21
8 Sm 0.4029 0.3986 0.7970  6 Pb 3.19-3.21
9 Sm 0.5985 0.6014 0.2030  6 Pb 3.19-3.21
10 Ho 0.0024 0.0000 0.0000  6 Pb 3.15-3.19

Calculated volume in Å³/cell: 324.6
Formation energy in kJ/mol of formula units: -363
Electronic total energy in eV per atom: -4.5762

---

The following is a PBE calculation of crystalline Ta2V9Sn at its relaxed geometry, from Alexandria.

Cell lengths 5.1063, 5.1063, 8.6295 Å; angles 72.79, 72.79, 60.00 degrees
Last column: nearest neighbours and their distance in Å.
Fractional positions:
1 Ta 0.1458 0.1458 0.5626  12 V 2.91-2.99, 3 Ta 3.12
2 Ta 0.8542 0.8542 0.4374  12 V 2.91-2.99, 3 Ta 3.12
3 V 0.5857 0.5857 0.7482  7 V 2.50-2.58
4 V 0.0804 0.5857 0.7482  7 V 2.50-2.58
5 V 0.4143 0.4143 0.2518  7 V 2.50-2.58
6 V 0.9196 0.4143 0.2518  7 V 2.50-2.58
7 V 0.5000 0.5000 0.5000  6 V 2.50
8 V 0.4143 0.9196 0.2518  7 V 2.50-2.58
9 V 0.3326 0.3326 0.0021  6 V 2.50-2.54
10 V 0.5857 0.0804 0.7482  7 V 2.50-2.58
11 V 0.6674 0.6674 0.9979  6 V 2.50-2.54
12 Sn 0.0000 0.0000 0.0000  18 V 2.95-3.27

Calculated volume in Å³/cell: 183.1
Formation energy in kJ/mol of formula units: 164
Electronic total energy in eV per atom: -9.0062

---

The following is a PBE calculation of crystalline Cs2RhSe at its relaxed geometry, from Alexandria.

Cell lengths 9.2691, 9.2691, 9.2691 Å; angles 93.71, 93.71, 150.53 degrees
Last column: nearest neighbours and their distance in Å.
Fractional positions:
1 Cs 0.1250 0.7938 0.1688  2 Rh 3.38, 2 Se 3.77
2 Cs 0.6250 0.9562 0.8312  2 Rh 3.38, 2 Se 3.77
3 Cs 0.0438 0.8750 0.6688  2 Rh 3.38, 2 Se 3.77
4 Cs 0.2062 0.3750 0.3312  2 Rh 3.38, 2 Se 3.77
5 Se 0.5000 0.5000 0.0000  2 Rh 2.36
6 Se 0.7500 0.2500 0.5000  2 Rh 2.36
7 Rh 0.0000 0.0000 0.0000  2 Se 2.36
8 Rh 0.2500 0.7500 0.5000  2 Se 2.36

Distance to the lowest polymorph of the same formula in kcal/mol of atoms: 0.00
Calculated volume in Å³/cell: 378.9
Electronic total energy in eV per atom: -3.4591

---

The following is a PBE calculation of crystalline Hg3IrPt at its relaxed geometry, from Alexandria.

Cell lengths 5.1522, 5.1522, 5.1522 Å; angles 90.00, 90.00, 90.00 degrees
Last column: nearest neighbours and their distance in Å.
Fractional positions:
1 Pt 0.5000 0.5000 0.5000  12 Hg 3.64
2 Hg 0.0000 0.5000 0.0000  2 Ir 2.58
3 Hg 0.5000 0.0000 0.0000  2 Ir 2.58
4 Hg 0.0000 0.0000 0.5000  2 Ir 2.58
5 Ir 0.0000 0.0000 0.0000  6 Hg 2.58

Distance to the lowest polymorph of the same formula in kcal/mol of atoms: 0.00
Calculated volume in Å³/cell: 136.8
Formation energy in kJ/mol of formula units: 484
Electronic total energy in eV per atom: -2.1575

---

What did the second record say?
The following is a PBE calculation of crystalline Pr3Tm4Ga4 at its relaxed geometry, from Alexandria.

Cell lengths 4.8171, 7.6478, 9.2445 Å; angles 114.43, 105.10, 90.00 degrees
Last column: nearest neighbours and their distance in Å.
Fractional positions:
1 Pr 0.8907 0.8907 0.7815  4 Ga 3.28, 4 Tm 3.42, 1 Pr 3.52
2 Pr 0.1093 0.1093 0.2185  4 Ga 3.28, 4 Tm 3.42, 1 Pr 3.52
3 Pr 0.0000 0.5000 0.0000  6 Ga 3.29-3.44
4 Ga 0.7958 0.2958 0.5915  6 Tm 2.94-2.97, 1 Pr 3.29
5 Ga 0.5000 0.1786 0.0000  1 Ga 2.73, 2 Tm 2.91
6 Ga 0.2042 0.7042 0.4085  6 Tm 2.94-2.97, 1 Pr 3.29
7 Ga 0.5000 0.8214 0.0000  1 Ga 2.73, 2 Tm 2.91
8 Tm 0.3274 0.5387 0.6547  4 Ga 2.91-2.97, 1 Tm 3.23
9 Tm 0.6726 0.8840 0.3453  4 Ga 2.91-2.97, 1 Tm 3.23
10 Tm 0.3274 0.1160 0.6547  4 Ga 2.91-2.97, 1 Tm 3.23
11 Tm 0.6726 0.4613 0.3453  4 Ga 2.91-2.97, 1 Tm 3.23

Calculated volume in Å³/cell: 297.1
Formation energy in kJ/mol of formula units: -421
Electronic total energy in eV per atom: -4.4272